# 1
4
Lattice="-3.840 1.089 -0.473 -0.709 -3.776 -2.939 -1.241 -2.725 3.800" Properties=species:S:1:pos:R:3 comment="PuTiSb2 (GGA-PBE, optimized geometry)" e_form_raw_mev_per_atom=-329.5 sg="P4/mmm, No. 123" density_g_cm3=9.45 relative_energy_mev_per_atom=90.6 pbc="T T T"
Sb -0.620 -1.362 1.900
Sb -0.354 -1.888 -1.470
Ti -2.895 -2.706 0.194
Pu -1.920 0.544 -0.236

# 2
4
Lattice="3.301 0.000 0.000 1.651 2.859 0.000 1.651 0.953 10.680" Properties=species:S:1:pos:R:3 comment="PuTiSb2 (GGA-PBE, optimized geometry)" e_form_raw_mev_per_atom=-58.4 sg="R-3m, No. 166" density_g_cm3=8.82 relative_energy_mev_per_atom=361.6 pbc="T T T"
Sb 1.651 0.953 7.476
Sb 4.952 2.859 3.204
Pu 0.000 0.000 0.000
Ti 3.301 1.906 5.340

# 3
4
Lattice="4.004 0.000 0.000 0.000 4.449 0.000 0.000 0.000 4.449" Properties=species:S:1:pos:R:3 comment="PuTi2Sb (GGA-PBE, optimized geometry)" e_form_raw_mev_per_atom=-270.6 sg="P4/mmm, No. 123" density_g_cm3=9.67 pbc="T T T"
Pu 2.002 0.000 0.000
Ti 0.000 0.000 2.225
Ti 0.000 2.225 0.000
Sb 2.002 2.225 2.225

# 4
4
Lattice="3.366 -0.001 0.002 0.001 3.850 0.380 -1.688 -0.727 7.381" Properties=species:S:1:pos:R:3 comment="PuTiSb2 (GGA-PBE, optimized geometry)" e_form_raw_mev_per_atom=-420.0 sg="Amm2, No. 38" density_g_cm3=9.20 relative_energy_mev_per_atom=0.0 pbc="T T T"
Pu 0.361 2.987 1.988
Sb 2.041 0.850 3.932
Sb 0.357 0.520 7.292
Ti 0.357 2.644 5.466

# 5
4
Lattice="-0.057 -3.778 2.750 -1.454 -2.415 -3.348 4.128 -0.897 -1.146" Properties=species:S:1:pos:R:3 comment="Pu2TiSb (GGA-PBE, optimized geometry)" e_form_raw_mev_per_atom=-277.9 sg="P4/mmm, No. 123" density_g_cm3=12.19 pbc="T T T"
Pu 2.064 -0.448 -0.573
Pu -0.727 -1.208 -1.674
Sb 1.309 -3.545 -0.872
Ti -0.028 -1.889 1.375

# 6
20
Lattice="6.185 0.000 0.000 0.000 6.263 0.000 0.000 0.000 12.928" Properties=species:S:1:pos:R:3 comment="PuTiSb3 (GGA-PBE, optimized geometry)" e_form_raw_mev_per_atom=-500.9 sg="Pbcm, No. 57" density_g_cm3=8.72 pbc="T T T"
Pu 1.546 3.181 4.066
Pu 1.546 0.049 8.862
Pu 4.639 3.082 8.862
Pu 4.639 6.214 4.066
Sb 4.639 3.117 3.038
Sb 0.000 1.566 6.430
Sb 3.093 1.566 6.430
Sb 4.639 6.249 9.890
Sb 3.093 4.697 6.498
Sb 1.546 3.857 0.940
Sb 0.000 4.697 6.498
Sb 1.546 0.725 11.988
Sb 4.639 5.538 0.940
Sb 4.639 2.407 11.988
Sb 1.546 0.014 3.038
Sb 1.546 3.146 9.890
Ti 0.000 1.566 1.235
Ti 3.093 1.566 1.235
Ti 3.093 4.697 11.693
Ti 0.000 4.697 11.693